KYAgO2: optimized geometry, PBE-GGA.

POSCAR file:
```
KYAgO2
1.0
5.610 0.000 0.000
0.000 6.686 0.757
0.000 -1.228 6.391
K O Y Ag
2 4 2 2
Cartesian
3.804 3.036 1.976 K
1.806 2.422 5.172 K
2.178 4.739 3.746 O
3.433 4.125 6.941 O
3.433 0.719 3.402 O
2.178 1.333 0.206 O
2.901 -0.921 4.793 Y
2.710 -0.307 1.598 Y
0.000 0.000 0.000 Ag
0.000 -0.614 3.196 Ag
```

## Properties
Magnetization   0.000 μB/cell
ΔE_f (raw)   -1660 meV/atom

=====

K2Zr3AgO8: optimized geometry, PBE-GGA.

POSCAR file:
```
K2Zr3AgO8
1.0
-2.103 1.735 -6.004
-0.279 -4.490 -4.821
-6.935 -2.389 -1.883
O K Zr Ag
8 2 3 1
Cartesian
-3.000 -0.551 -6.351 O
-7.623 -4.011 -9.353 O
-1.906 -1.185 -3.296 O
-6.581 -4.700 -6.295 O
-3.122 -2.524 -8.470 O
-6.455 -2.674 -4.121 O
-7.404 -1.892 -6.829 O
-2.198 -3.287 -5.831 O
-4.514 -1.809 -2.563 K
-4.759 -2.597 -6.326 K
-1.225 -1.381 -5.378 Zr
-1.087 0.835 -2.999 Zr
-0.187 -2.237 -2.415 Zr
-3.699 -3.071 -10.455 Ag
```

## Properties
Magnetization   1.019 μB/cell
ΔE_f (raw)   -2412 meV/atom

=====

K2ZrAgO4: optimized geometry, PBE-GGA.

POSCAR file:
```
K2ZrAgO4
1.0
5.758 0.100 0.154
-2.363 5.252 -0.154
-2.363 -2.255 4.746
O K Ag Zr
4 2 1 1
Cartesian
3.340 2.782 0.602 O
-1.269 3.008 3.455 O
1.458 0.625 2.111 O
-1.463 -0.219 3.324 O
0.516 3.426 1.148 K
0.000 0.000 0.000 K
-2.363 1.499 2.296 Ag
0.516 -0.328 3.598 Zr
```

## Properties
Magnetization   0.809 μB/cell
ΔE_f (raw)   -1740 meV/atom

=====

KAgOs2: optimized geometry, PBE-GGA.

POSCAR file:
```
KAgOs2
1.0
-1.739 -0.225 4.294
2.094 -2.605 3.216
2.245 2.021 3.520
Ag Os K
1 2 1
Cartesian
1.300 -0.404 5.515 Ag
0.000 0.000 0.000 Os
0.650 -0.202 2.758 Os
1.949 -0.606 8.273 K
```

## Properties
Magnetization   0.000 μB/cell
Relative energy among the computed polymorphs   859 meV/atom

=====

KAgOs2: optimized geometry, PBE-GGA.

POSCAR file:
```
KAgOs2
1.0
2.903 0.000 0.000
0.000 2.903 0.000
0.000 0.000 9.321
Os Ag K
2 1 1
Cartesian
0.000 0.000 0.582 Os
1.451 1.451 2.099 Os
0.000 0.000 4.212 Ag
1.451 1.451 7.089 K
```

## Properties
Magnetization   0.407 μB/cell
Relative energy among the computed polymorphs   56 meV/atom

=====

KAgOs2: optimized geometry, PBE-GGA.

POSCAR file:
```
KAgOs2
1.0
5.189 0.000 0.000
0.000 3.785 0.000
0.000 0.000 3.785
Ag Os K
1 2 1
Cartesian
2.595 1.893 0.000 Ag
0.000 0.000 0.000 Os
0.000 1.893 1.893 Os
2.595 0.000 1.893 K
```

## Properties
Magnetization   0.004 μB/cell
Relative energy among the computed polymorphs   835 meV/atom